[1]
# NaZrB2N

A geometry-optimized NaZrB2N structure (PBE-GGA, the Alexandria database).

abc: 4.6339 4.2485 4.6339
angles: 90.00 90.00 90.00
With the nearest neighbours (Å) after each atom.
Sites, in units of the cell vectors:
N1 0.0000 0.5000 0.0000  2 Zr 2.12
Zr1 0.0000 0.0000 0.0000  2 N 2.12, 4 B 2.32
Na1 0.5000 0.5000 0.5000  8 B 3.14, 4 N 3.28
B1 0.5000 0.0000 0.0000  2 Zr 2.32
B2 0.0000 0.0000 0.5000  2 Zr 2.32

Calculated values
size of the total moment: 0.00 μB per formula unit
space group: No. 123
D(E_F): 1.8 states/eV per cell
mass density: 2.727 g cm⁻³



[2]
# NbBN2

A geometry-optimized NbBN2 structure (PBE-GGA, the Alexandria database).

abc: 5.6514 5.6514 5.6514
angles: 31.44 31.44 31.44
With the nearest neighbours (Å) after each atom.
Sites, in units of the cell vectors:
Nb1 0.5000 0.5000 0.5000  6 N 2.22
B1 0.0000 0.0000 0.0000  2 N 1.34
N1 0.9167 0.9167 0.9167  1 B 1.34
N2 0.0833 0.0833 0.0833  1 B 1.34

Calculated values
size of the total moment: 0.00 μB per formula unit
space group: No. 166
D(E_F): 0.8 states/eV per cell
mass density: 5.019 g cm⁻³



[3]
# Nb4BN

A geometry-optimized Nb4BN structure (PBE-GGA, the Alexandria database).

abc: 5.5722 5.5348 5.5012
angles: 90.00 92.75 90.00
With the nearest neighbours (Å) after each atom.
Sites, in units of the cell vectors:
B1 0.0000 0.0000 0.0000  6 Nb 2.28-2.38
B2 0.5000 0.5000 0.0000  6 Nb 2.28-2.38
Nb1 0.1288 0.3588 0.8517  1 N 2.18, 2 B 2.28-2.32
Nb2 0.1601 0.8506 0.6356  2 N 2.23-2.25, 1 B 2.38
Nb3 0.6288 0.1412 0.8517  1 N 2.18, 2 B 2.28-2.32
Nb4 0.8399 0.1494 0.3644  2 N 2.23-2.25, 1 B 2.38
Nb5 0.6601 0.6494 0.6356  2 N 2.23-2.25, 1 B 2.38
Nb6 0.8712 0.6412 0.1483  1 N 2.18, 2 B 2.28-2.32
Nb7 0.3399 0.3506 0.3644  2 N 2.23-2.25, 1 B 2.38
Nb8 0.3712 0.8588 0.1483  1 N 2.18, 2 B 2.28-2.32
N1 0.0000 0.5000 0.5000  6 Nb 2.18-2.25
N2 0.5000 0.0000 0.5000  6 Nb 2.18-2.25

Calculated values
size of the total moment: 0.00 μB per formula unit
space group: No. 14
D(E_F): 9.1 states/eV per cell
mass density: 7.769 g cm⁻³



[4]
# NbBN2

A geometry-optimized NbBN2 structure (PBE-GGA, the Alexandria database).

abc: 4.7587 4.7587 4.6065
angles: 58.90 58.90 90.00
With the nearest neighbours (Å) after each atom.
Sites, in units of the cell vectors:
Nb1 0.0000 0.0000 0.0000  4 N 2.23
Nb2 0.7500 0.2500 0.5000  4 N 2.23
B1 0.5000 0.5000 0.0000  4 N 1.58
B2 0.2500 0.7500 0.5000  4 N 1.58
N1 0.5156 0.1250 0.2500  2 B 1.58
N2 0.3750 0.4844 0.7500  2 B 1.58
N3 0.8750 0.7656 0.7500  2 B 1.58
N4 0.2344 0.6250 0.2500  2 B 1.58

Calculated values
size of the total moment: 0.00 μB per formula unit
space group: No. 122
D(E_F): 2.6 states/eV per cell
mass density: 6.141 g cm⁻³



Formation energy from raw total energies, respectively: 24.871; -14.656; -10.815; -10.421 kcal/mol of atoms.
Calculated volume, respectively: 91.23; 43.58; 84.74; 35.62 Å³/f.u..